Density functional theory data (PBE-GGA) for Be11Fe3 after structural relaxation.

a b c (Å): 6.149 6.149 6.149
angles (deg): 147.99 103.26 85.56
Positions (direct):
Be: 0.000 0.000 0.000
Be: 0.075 0.854 0.220
Be: 0.147 0.500 0.647
Be: 0.239 0.367 0.872
Be: 0.366 0.146 0.220
Be: 0.495 0.367 0.128
Be: 0.505 0.633 0.872
Be: 0.634 0.854 0.780
Be: 0.761 0.633 0.128
Be: 0.853 0.500 0.353
Be: 0.925 0.146 0.780
Fe: 0.216 0.716 0.500
Fe: 0.500 0.000 0.500
Fe: 0.784 0.284 0.500

Output
- energy relative to the elements (meV/atom) = -73
- energy (eV/atom) = -4.81
- size of the total moment (μB/cell) = 3.10

=====

Density functional theory data (PBE-GGA) for BeFe7 after structural relaxation.

a b c (Å): 7.803 7.803 7.803
angles (deg): 154.54 154.54 36.32
Positions (direct):
Be: 0.000 0.000 0.000
Fe: 0.117 0.617 0.500
Fe: 0.252 0.252 0.000
Fe: 0.383 0.883 0.500
Fe: 0.500 0.500 0.000
Fe: 0.617 0.117 0.500
Fe: 0.748 0.748 0.000
Fe: 0.883 0.383 0.500

Output
- energy relative to the elements (meV/atom) = 32
- energy (eV/atom) = -7.84
- size of the total moment (μB/cell) = 14.71

=====

Density functional theory data (PBE-GGA) for BeFe2 after structural relaxation.

a b c (Å): 3.637 3.637 2.601
angles (deg): 90.00 90.00 90.00
Positions (direct):
Be: 0.000 0.000 0.000
Fe: 0.000 0.500 0.500
Fe: 0.500 0.000 0.500

Output
- energy relative to the elements (meV/atom) = 303
- energy (eV/atom) = -6.58
- size of the total moment (μB/cell) = 4.75

=====

Density functional theory data (PBE-GGA) for Be2Fe after structural relaxation.

a b c (Å): 3.679 3.679 4.309
angles (deg): 90.00 90.00 120.00
Positions (direct):
Be: 0.000 0.000 0.000
Be: 0.000 0.000 0.500
Be: 0.333 0.667 0.250
Be: 0.667 0.333 0.750
Fe: 0.333 0.667 0.750
Fe: 0.667 0.333 0.250

Output
- energy relative to the elements (meV/atom) = -123
- energy (eV/atom) = -5.43
- size of the total moment (μB/cell) = 0.00

=====

Density functional theory data (PBE-GGA) for Be2Fe13 after structural relaxation.

a b c (Å): 4.345 6.219 6.898
angles (deg): 100.29 98.07 110.27
Positions (direct):
Be: 0.008 0.340 0.385
Be: 0.992 0.660 0.615
Fe: 0.000 0.000 0.500
Fe: 0.011 0.014 0.164
Fe: 0.158 0.373 0.735
Fe: 0.238 0.443 0.121
Fe: 0.393 0.787 0.924
Fe: 0.464 0.908 0.297
Fe: 0.486 0.686 0.551
Fe: 0.514 0.314 0.449
Fe: 0.536 0.092 0.703
Fe: 0.607 0.213 0.076
Fe: 0.762 0.557 0.879
Fe: 0.842 0.627 0.265
Fe: 0.989 0.986 0.836

Output
- energy relative to the elements (meV/atom) = 65
- energy (eV/atom) = -7.77
- size of the total moment (μB/cell) = 29.70

=====

Density functional theory data (PBE-GGA) for Be4Fe after structural relaxation.

a b c (Å): 6.508 6.508 6.508
angles (deg): 156.97 156.97 32.79
Positions (direct):
Be: 0.103 0.103 0.000
Be: 0.300 0.300 0.000
Be: 0.700 0.700 0.000
Be: 0.897 0.897 0.000
Fe: 0.500 0.500 0.000

Output
- energy relative to the elements (meV/atom) = -38
- energy (eV/atom) = -4.71
- size of the total moment (μB/cell) = 1.26

=====

Density functional theory data (PBE-GGA) for BeFe2 after structural relaxation.

a b c (Å): 10.803 10.803 10.803
angles (deg): 161.78 161.78 25.87
Positions (direct):
Be: 0.292 0.542 0.750
Be: 0.458 0.708 0.750
Be: 0.542 0.292 0.250
Be: 0.708 0.458 0.250
Fe: 0.039 0.789 0.250
Fe: 0.124 0.374 0.750
Fe: 0.211 0.961 0.250
Fe: 0.374 0.124 0.250
Fe: 0.626 0.876 0.750
Fe: 0.789 0.039 0.750
Fe: 0.876 0.626 0.250
Fe: 0.961 0.211 0.750

Output
- energy relative to the elements (meV/atom) = -72
- energy (eV/atom) = -6.96
- size of the total moment (μB/cell) = 16.67

=====

Density functional theory data (PBE-GGA) for Be2Fe after structural relaxation.

a b c (Å): 4.164 4.164 4.164
angles (deg): 60.00 60.00 60.00
Positions (direct):
Be: 0.000 0.000 0.000
Be: 0.000 0.000 0.500
Be: 0.000 0.500 0.000
Be: 0.500 0.000 0.000
Fe: 0.375 0.375 0.375
Fe: 0.625 0.625 0.625

Output
- energy relative to the elements (meV/atom) = -277
- energy (eV/atom) = -5.58
- size of the total moment (μB/cell) = 3.40